Computed, not measured: a relaxed VPd5Pt2 crystal at the GGA-PBE level of DFT.

Lattice parameters (Å, degrees): 5.595 11.123 3.876 90.00 90.00 90.00
Sites, in units of the cell vectors:
V (0.000, 0.000, 0.000)
V (0.500, 0.500, 0.000)
Pd (0.000, 0.500, 0.000)
Pd (0.001, 0.244, 0.000)
Pd (0.250, 0.124, 0.500)
Pd (0.250, 0.624, 0.500)
Pd (0.499, 0.744, 0.000)
Pd (0.500, 0.000, 0.000)
Pd (0.501, 0.256, 0.000)
Pd (0.750, 0.376, 0.500)
Pd (0.750, 0.876, 0.500)
Pd (0.999, 0.756, 0.000)
Pt (0.240, 0.882, 0.500)
Pt (0.260, 0.382, 0.500)
Pt (0.740, 0.618, 0.500)
Pt (0.760, 0.118, 0.500)

Calculated values
Formation enthalpy at 0 K (meV/atom): -224
Total DFT energy (no corrections) (eV/atom): -6.1199
Crystal system: orthorhombic
Total magnetization (Bohr magnetons per cell): 0.0

Computed, not measured: a relaxed VPdPt2 crystal at the GGA-PBE level of DFT.

Lattice parameters (Å, degrees): 5.516 5.516 5.442 90.00 90.00 130.38
Sites, in units of the cell vectors:
V (0.165, 0.835, 0.750)
V (0.835, 0.165, 0.250)
Pd (0.082, 0.918, 0.250)
Pd (0.918, 0.082, 0.750)
Pt (0.364, 0.636, 0.009)
Pt (0.364, 0.636, 0.491)
Pt (0.636, 0.364, 0.509)
Pt (0.636, 0.364, 0.991)

Calculated values
Formation enthalpy at 0 K (meV/atom): -223
Total DFT energy (no corrections) (eV/atom): -6.8210
Crystal system: orthorhombic
Total magnetization (Bohr magnetons per cell): 0.0